No. 1
! PBE TlNi4As, relaxed; values from VASP
! electronic total energy	-28.77	eV per formula unit
! symmetry	F-43m (216)
&SYSTEM
  ibrav = 0, nat = 6, ntyp = 3
/
ATOMIC_SPECIES
Tl 204.38 Tl.upf
Ni 58.69 Ni.upf
As 74.92 As.upf
CELL_PARAMETERS angstrom
0.000 3.475 3.475
3.475 0.000 3.475
3.475 3.475 0.000
ATOMIC_POSITIONS crystal
Tl 0.000 0.000 0.000
Ni 0.376 0.376 0.376
Ni 0.376 0.376 0.873
Ni 0.376 0.873 0.376
Ni 0.873 0.376 0.376
As 0.750 0.750 0.750

No. 2
! PBE K2LaHoS4, relaxed; values from VASP
! electronic total energy	-43.37	eV per formula unit
! symmetry	P2/m (10)
! formation energy without anion corrections	-1.895	eV/atom
&SYSTEM
  ibrav = 0, nat = 8, ntyp = 4
/
ATOMIC_SPECIES
K 39.10 K.upf
La 138.91 La.upf
Ho 164.93 Ho.upf
S 32.06 S.upf
CELL_PARAMETERS angstrom
7.218 0.000 0.000
0.000 4.163 0.000
-2.398 0.000 7.377
ATOMIC_POSITIONS crystal
K 0.000 0.000 0.000
K 0.500 0.500 0.000
La 0.000 0.500 0.500
Ho 0.500 0.000 0.500
S 0.248 0.000 0.706
S 0.277 0.500 0.298
S 0.723 0.500 0.702
S 0.752 0.000 0.294

> Which value of electronic total energy does entry 1 give?

-28.77 eV per formula unit

> The lowest electronic total energy belongs to which entry?

K2LaHoS4

> Which value of electronic total energy does entry 2 give?

-43.37 eV per formula unit

> Which formula does entry 1 have?

TlNi4As